No. 1
This record from Alexandria describes a geometry-optimized Li2VO2F2 structure. The functional is GGA+U.

a b c (Å): 5.9678 5.9678 10.3797
angles (deg): 109.32 109.32 59.38
Positions (direct):
1 Li 0.0075 0.9925 0.5000
2 Li 0.0548 0.5791 0.1856
3 Li 0.4397 0.9370 0.3138
4 Li 0.4919 0.5126 0.0027
5 Li 0.5126 0.4919 0.5027
6 Li 0.5791 0.0548 0.6856
7 Li 0.9370 0.4397 0.8138
8 Li 0.9925 0.0075 0.0000
9 V 0.0262 0.4791 0.5000
10 V 0.2709 0.7331 0.7494
11 V 0.4791 0.0262 0.0000
12 V 0.7331 0.2709 0.2494
13 O 0.0972 0.1605 0.3800
14 O 0.1605 0.0972 0.8800
15 O 0.3704 0.3936 0.6212
16 O 0.3936 0.3704 0.1212
17 O 0.5849 0.6576 0.8738
18 O 0.6576 0.5849 0.3738
19 O 0.8245 0.9314 0.1233
20 O 0.9314 0.8245 0.6233
21 F 0.1297 0.6170 0.3881
22 F 0.1367 0.6427 0.8701
23 F 0.3704 0.8944 0.1128
24 F 0.3743 0.8537 0.6286
25 F 0.6170 0.1297 0.8881
26 F 0.6427 0.1367 0.3701
27 F 0.8537 0.3743 0.1286
28 F 0.8944 0.3704 0.6128

* relative energy among the computed polymorphs: 8 meV/atom
* V: 10.51 A^3/atom
* symmetry: Cc, No. 9
* total DFT energy (no corrections): -42.3 eV per formula unit
* total moment: 1.00 μB per formula unit

No. 2
This record from Alexandria describes a geometry-optimized CaCd2CoO4 structure. The functional is GGA+U.

a b c (Å): 5.8722 5.8722 11.7208
angles (deg): 90.00 90.00 147.43
Positions (direct):
1 Ca 0.1264 0.8736 0.7500
2 Ca 0.8736 0.1264 0.2500
3 Cd 0.3682 0.6318 0.5387
4 Cd 0.3682 0.6318 0.9613
5 Cd 0.6318 0.3682 0.0387
6 Cd 0.6318 0.3682 0.4613
7 Co 0.1327 0.8673 0.2500
8 Co 0.8673 0.1327 0.7500
9 O 0.0000 0.0000 0.0000
10 O 0.0000 0.0000 0.5000
11 O 0.2601 0.7399 0.1308
12 O 0.2601 0.7399 0.3692
13 O 0.4687 0.5313 0.7500
14 O 0.5313 0.4687 0.2500
15 O 0.7399 0.2601 0.6308
16 O 0.7399 0.2601 0.8692

* V: 13.60 A^3/atom
* symmetry: Cmcm, No. 63
* total DFT energy (no corrections): -40.0 eV per formula unit
* total moment: 3.01 μB per formula unit